DFT (PBE-GGA) results for a geometry-optimized YTaW2 structure.

The total magnetization comes out at 0.00 μB per formula unit. As for the energy relative to the lowest polymorph listed for this composition: 0.72 eV per formula unit.

The structure belongs to space group C2/m (No. 12); the cell edges are 5.863, 9.496 and 2.844 Å and the angles 90.00°, 108.94° and 90.00°. The distinct sites, in fractional coordinates, are Y at (0.000, 0.000, 0.000), Ta at (0.000, 0.500, 0.000) and W at (0.250, 0.250, 0.500).

---

DFT (PBE-GGA) results for a geometry-optimized Ca5PrSe6 structure.

The total energy is -59.38 eV/f.u. The total magnetization comes out at 0.00 μB per formula unit.

The structure belongs to space group C2/m (No. 12); the cell edges are 7.310, 12.657 and 7.314 Å and the angles 90.00°, 109.48° and 90.00°. The distinct sites, in fractional coordinates, are Ca at (0.000, 0.000, 0.000), Ca at (0.000, 0.167, 0.500), Ca at (0.000, 0.334, 0.000), Pr at (0.000, 0.500, 0.500), Se at (0.248, 0.000, 0.752) and Se at (0.248, 0.168, 0.248).

---

DFT (PBE-GGA) results for a geometry-optimized MnB2 structure.

The total energy is -23.37 eV/f.u. The total magnetization comes out at 1.86 μB per formula unit.

The structure belongs to space group P6/mmm (No. 191); the cell edges are 2.9843, 2.9843 and 2.9390 Å and the angles 90.00°, 90.00° and 120.00°. The distinct sites, in fractional coordinates, are Mn at (0.0000, 0.0000, 0.0000) and B at (0.3333, 0.6667, 0.5000).